No. 1
Compound: ZnNi3
Source: Alexandria
Functional: GGA-PBE
Structure: relaxed

It has space group Imm2 (No. 44), with a = 2.550 Å, b = 8.259 Å, c = 4.349 Å, α = 90.00°, β = 90.00° and γ = 90.00°. The inequivalent atoms are Zn at (0.000, 0.000, 0.000), Ni at (0.000, 0.248, 0.661) and Ni at (0.000, 0.500, 0.997).

The formation energy comes out at -0.09 eV per atom.

---

No. 2
Compound: Pm3Co2Ag
Source: Alexandria
Functional: GGA-PBE
Structure: relaxed

It has space group Pmc2_1 (No. 26), with a = 3.895 Å, b = 9.949 Å, c = 7.472 Å, α = 90.00°, β = 90.00° and γ = 90.00°. The inequivalent atoms are Pm at (0.000, 0.052, 0.000), Pm at (0.500, 0.271, 0.381), Pm at (0.500, 0.353, 0.878), Co at (0.000, 0.218, 0.658), Co at (0.500, 0.101, 0.705) and Ag at (0.000, 0.498, 0.626).

As for the offset from the most stable computed form: 0.00 eV per formula unit. The formation energy comes out at -0.11 eV per atom.

---

No. 3
Compound: In2SbP
Source: Alexandria
Functional: GGA-PBE
Structure: relaxed

It has space group Cm (No. 8), with a = 14.707 Å, b = 4.436 Å, c = 7.715 Å, α = 90.00°, β = 100.07° and γ = 90.00°. The inequivalent atoms are In at (0.000, 0.000, 0.000), In at (0.015, 0.500, 0.462), In at (0.246, 0.500, 0.212), In at (0.269, 0.000, 0.758), Sb at (0.073, 0.000, 0.679), Sb at (0.319, 0.000, 0.417), P at (0.066, 0.500, 0.159) and P at (0.321, 0.500, 0.930).

As for the offset from the most stable computed form: 0.04 eV per formula unit.

---

No. 4
Compound: Sb2MoPt
Source: Alexandria
Functional: GGA-PBE
Structure: relaxed

It has space group F-43m (No. 216), with a = 6.840 Å, b = 6.840 Å, c = 6.840 Å, α = 90.00°, β = 90.00° and γ = 90.00°. The inequivalent atoms are Sb at (0.000, 0.000, 0.000), Sb at (0.250, 0.250, 0.250), Mo at (0.250, 0.250, 0.750) and Pt at (0.000, 0.000, 0.500).

As for the offset from the most stable computed form: 2.24 eV per formula unit.

---

No. 5
Compound: BaHCSe2
Source: Alexandria
Functional: GGA-PBE
Structure: relaxed

It has space group P4/mmm (No. 123), with a = 6.577 Å, b = 6.577 Å, c = 5.810 Å, α = 90.00°, β = 90.00° and γ = 90.00°. The inequivalent atoms are Ba at (0.000, 0.000, 0.000), H at (0.500, 0.500, 0.500), C at (0.000, 0.000, 0.500) and Se at (0.000, 0.500, 0.000).

The raw total energy is -2.5881 eV/atom.

---

No. 6
Compound: La5PtAu2
Source: Alexandria
Functional: GGA-PBE
Structure: relaxed

It has space group Pbam (No. 55), with a = 8.299 Å, b = 12.145 Å, c = 4.744 Å, α = 90.00°, β = 90.00° and γ = 90.00°. The inequivalent atoms are La at (0.000, 0.000, 0.000), La at (0.152, 0.290, 0.000), La at (0.186, 0.579, 0.500), Pt at (0.000, 0.500, 0.000) and Au at (0.075, 0.830, 0.500).

The formation energy comes out at -0.70 eV per atom.